# TaIn2W

Crystalline TaIn2W at its relaxed geometry (PBE, Alexandria via LeMat-Bulk).

Cell: 3.471 4.702 9.366 Å, 90.00 90.00 90.00°
Space group Cmmm (No. 65)
Unique sites:
Ta: 0.000 0.000 0.000
In: 0.000 0.500 0.255
W: 0.000 0.000 0.500

Results
For the total magnetization, the calculation gives 0.00 μB/f.u. The formation energy is 0.487 eV per atom. The volume is 19.11 A^3/atom. The raw total energy comes out at -7.08 eV per atom.